DFT (PBE-GGA) results for a relaxed Y3Ho2Tm6Pu crystal.

Values from the calculation:
* E: -5.76 eV per atom
* formation energy: 0.048 eV per atom

Unit cell a=6.0760 b=6.0760 c=11.5827 alpha=95.02 beta=95.02 gamma=120.00
Element x y z (fractional)
Y  0.8327  0.1673  0.5000
Y  0.1673  0.8327  0.5000
Y  0.5000  0.5000  0.5000
Tm  0.7527  0.7527  0.2469
Tm  0.4115  0.0822  0.2468
Tm  0.2473  0.2473  0.7531
Tm  0.5885  0.9178  0.7532
Tm  0.0822  0.4115  0.2468
Tm  0.9178  0.5885  0.7532
Pu  0.0000  0.0000  0.0000
Ho  0.3334  0.6666  0.0000
Ho  0.6666  0.3334  0.0000